5
Lattice="3.903 0.000 0.000 0.000 3.903 0.000 0.000 0.000 3.976" Properties=species:S:1:pos:R:3 comment="PBE with a Hubbard U MnCdO2F, relaxed" rho_g_cm3=5.985 dos_ef_per_ev_atom=0.114 dft_energy_ev_per_cell=-27.04 spacegroup="P4/mmm (123)" pbc="T T T"
O 0.000 1.952 0.000
O 1.952 0.000 0.000
F 0.000 0.000 1.988
Cd 1.952 1.952 1.988
Mn 0.000 0.000 0.000